Computed, not measured: an optimized crystal structure of ThGa2Pt5Au at the GGA-PBE level of DFT.

Properties
E_form: -0.64 eV per atom

Lattice parameters (Å, degrees): 4.124 4.124 9.745 90.00 90.00 90.00
Fractional positions:
Th 0.000 0.000 0.500
Ga 0.500 0.500 0.123
Ga 0.500 0.500 0.877
Pt 0.000 0.500 0.275
Pt 0.500 0.000 0.275
Pt 0.000 0.500 0.725
Pt 0.500 0.000 0.725
Pt 0.500 0.500 0.500
Au 0.000 0.000 0.000